First-principles (PBEsol) data for an optimized crystal structure of Si2OsBr, as listed in Alexandria.

a b c (Å): 5.806 5.806 11.124
angles (deg): 90.00 90.00 90.00
Space group I-42d (No. 122)
Asymmetric unit:
Si  0.174  0.250  0.125 (multiplicity 8)
Os  0.000  0.000  0.000 (multiplicity 4)
Br  0.000  0.000  0.500 (multiplicity 4)

Values from the calculation:
ΔE to the lowest computed polymorph, meV per atom: 309
DFT total energy, eV/cell: -95.28
Formation energy without anion corrections, eV per atom: 0.4395
N(E_F), states/eV/atom: 0.5072